1.
Computed, not measured: a crystal of CdRe2PdAu relaxed with PBEsol at the SCAN level of DFT.

Calculated values
ΔH_f (0 K) = 2.243 eV/atom

Cell and atoms, written as CIF:
```
data_CdRe2PdAu
_cell_length_a 4.8052
_cell_length_b 4.8052
_cell_length_c 4.8701
_cell_angle_alpha 90.00
_cell_angle_beta 90.00
_cell_angle_gamma 90.00
_space_group_name_H-M_alt 'P 4/m m m'
_space_group_IT_number 123
_space_group_name_Hall '-P 4 2'
loop_
_atom_site_label
_atom_site_type_symbol
_atom_site_fract_x
_atom_site_fract_y
_atom_site_fract_z
Cd1 Cd 0.0000 0.0000 0.0000
Re1 Re 0.0000 0.5000 0.5000
Pd1 Pd 0.5000 0.5000 0.0000
Au1 Au 0.5000 0.5000 0.5000
```

=====

2.
Computed, not measured: a crystal of PrCdAu relaxed with PBEsol at the SCAN level of DFT.

Calculated values
ΔH_f (0 K) = -0.823 eV/atom

Cell and atoms, written as CIF:
```
data_PrCdAu
_cell_length_a 7.7923
_cell_length_b 7.7923
_cell_length_c 4.0307
_cell_angle_alpha 90.00
_cell_angle_beta 90.00
_cell_angle_gamma 120.00
_space_group_name_H-M_alt 'P -6 2 m'
_space_group_IT_number 189
_space_group_name_Hall 'P -6 -2'
loop_
_atom_site_label
_atom_site_type_symbol
_atom_site_fract_x
_atom_site_fract_y
_atom_site_fract_z
Pr1 Pr 0.0000 0.4047 0.0000
Cd1 Cd 0.0000 0.7448 0.5000
Au1 Au 0.0000 0.0000 0.0000
Au2 Au 0.3333 0.6667 0.5000
```

=====

3.
Computed, not measured: a crystal of CdPt2Au relaxed with PBEsol at the SCAN level of DFT.

Calculated values
ΔH_f (0 K) = -0.116 eV/atom

Cell and atoms, written as CIF:
```
data_CdPt2Au
_cell_length_a 2.8063
_cell_length_b 4.7957
_cell_length_c 4.8650
_cell_angle_alpha 90.00
_cell_angle_beta 91.33
_cell_angle_gamma 90.00
_space_group_name_H-M_alt 'P 1 2/m 1'
_space_group_IT_number 10
_space_group_name_Hall '-P 2y'
loop_
_atom_site_label
_atom_site_type_symbol
_atom_site_fract_x
_atom_site_fract_y
_atom_site_fract_z
Cd1 Cd 0.0000 0.0000 0.0000
Pt1 Pt 0.2553 0.5000 0.7484
Au1 Au 0.5000 0.0000 0.5000
```

=====

4.
Computed, not measured: a crystal of CdPt2Au relaxed with PBEsol at the SCAN level of DFT.

Calculated values
ΔH_f (0 K) = -0.124 eV/atom

Cell and atoms, written as CIF:
```
data_CdPt2Au
_cell_length_a 5.5519
_cell_length_b 9.6377
_cell_length_c 2.8030
_cell_angle_alpha 90.00
_cell_angle_beta 119.28
_cell_angle_gamma 90.00
_space_group_name_H-M_alt 'C 1 2/m 1'
_space_group_IT_number 12
_space_group_name_Hall '-C 2y'
loop_
_atom_site_label
_atom_site_type_symbol
_atom_site_fract_x
_atom_site_fract_y
_atom_site_fract_z
Cd1 Cd 0.0000 0.0000 0.0000
Pt1 Pt 0.2500 0.2500 0.5000
Au1 Au 0.0000 0.5000 0.0000
```

=====

5.
Computed, not measured: a crystal of CdPt2Au relaxed with PBEsol at the SCAN level of DFT.

Calculated values
ΔH_f (0 K) = -0.102 eV/atom

Cell and atoms, written as CIF:
```
data_CdPt2Au
_cell_length_a 2.8411
_cell_length_b 2.8411
_cell_length_c 8.0606
_cell_angle_alpha 90.00
_cell_angle_beta 90.00
_cell_angle_gamma 90.00
_space_group_name_H-M_alt 'P 4 m m'
_space_group_IT_number 99
_space_group_name_Hall 'P 4 -2'
loop_
_atom_site_label
_atom_site_type_symbol
_atom_site_fract_x
_atom_site_fract_y
_atom_site_fract_z
Cd1 Cd 0.0000 0.0000 0.0000
Pt1 Pt 0.0000 0.0000 0.4851
Pt2 Pt 0.5000 0.5000 0.2468
Au1 Au 0.5000 0.5000 0.7337
```

=====

6.
Computed, not measured: a crystal of Cd2Pt2Au relaxed with PBEsol at the SCAN level of DFT.

Calculated values
ΔH_f (0 K) = -0.250 eV/atom

Cell and atoms, written as CIF:
```
data_Cd2Pt2Au
_cell_length_a 6.8986
_cell_length_b 6.8986
_cell_length_c 3.8189
_cell_angle_alpha 90.00
_cell_angle_beta 90.00
_cell_angle_gamma 90.00
_space_group_name_H-M_alt 'P 4/m b m'
_space_group_IT_number 127
_space_group_name_Hall '-P 4 2ab'
loop_
_atom_site_label
_atom_site_type_symbol
_atom_site_fract_x
_atom_site_fract_y
_atom_site_fract_z
Cd1 Cd 0.1661 0.3339 0.0000
Pt1 Pt 0.1347 0.6347 0.5000
Au1 Au 0.0000 0.0000 0.5000
```

=====

7.
Computed, not measured: a crystal of CdPt2Au relaxed with PBEsol at the SCAN level of DFT.

Calculated values
ΔH_f (0 K) = -0.153 eV/atom

Cell and atoms, written as CIF:
```
data_CdPt2Au
_cell_length_a 5.7820
_cell_length_b 7.6657
_cell_length_c 2.9285
_cell_angle_alpha 90.00
_cell_angle_beta 90.00
_cell_angle_gamma 90.00
_space_group_name_H-M_alt 'C m m m'
_space_group_IT_number 65
_space_group_name_Hall '-C 2 2'
loop_
_atom_site_label
_atom_site_type_symbol
_atom_site_fract_x
_atom_site_fract_y
_atom_site_fract_z
Cd1 Cd 0.0000 0.0000 0.0000
Pt1 Pt 0.2500 0.2500 0.5000
Au1 Au 0.0000 0.5000 0.0000
```

=====

8.
Computed, not measured: a crystal of CdPt2Au relaxed with PBEsol at the SCAN level of DFT.

Calculated values
ΔH_f (0 K) = -0.126 eV/atom

Cell and atoms, written as CIF:
```
data_CdPt2Au
_cell_length_a 9.4182
_cell_length_b 2.8513
_cell_length_c 4.9278
_cell_angle_alpha 90.00
_cell_angle_beta 100.36
_cell_angle_gamma 90.00
_space_group_name_H-M_alt 'C 1 m 1'
_space_group_IT_number 8
_space_group_name_Hall 'C -2y'
loop_
_atom_site_label
_atom_site_type_symbol
_atom_site_fract_x
_atom_site_fract_y
_atom_site_fract_z
Cd1 Cd 0.0000 0.0000 0.0000
Pt1 Pt 0.2508 0.5000 0.2480
Pt2 Pt 0.4933 0.0000 0.4936
Au1 Au 0.2437 0.0000 0.7386
```

=====

9.
Computed, not measured: a crystal of CdPt2Au relaxed with PBEsol at the SCAN level of DFT.

Calculated values
ΔH_f (0 K) = -0.124 eV/atom

Cell and atoms, written as CIF:
```
data_CdPt2Au
_cell_length_a 2.8777
_cell_length_b 2.8777
_cell_length_c 7.8592
_cell_angle_alpha 90.00
_cell_angle_beta 90.00
_cell_angle_gamma 90.00
_space_group_name_H-M_alt 'P 4/m m m'
_space_group_IT_number 123
_space_group_name_Hall '-P 4 2'
loop_
_atom_site_label
_atom_site_type_symbol
_atom_site_fract_x
_atom_site_fract_y
_atom_site_fract_z
Cd1 Cd 0.0000 0.0000 0.0000
Pt1 Pt 0.5000 0.5000 0.2513
Au1 Au 0.0000 0.0000 0.5000
```

=====

10.
Computed, not measured: a crystal of CdPt2Au relaxed with PBEsol at the SCAN level of DFT.

Calculated values
ΔH_f (0 K) = -0.122 eV/atom

Cell and atoms, written as CIF:
```
data_CdPt2Au
_cell_length_a 2.8280
_cell_length_b 4.0029
_cell_length_c 5.7472
_cell_angle_alpha 90.00
_cell_angle_beta 90.00
_cell_angle_gamma 90.00
_space_group_name_H-M_alt 'P m m 2'
_space_group_IT_number 25
_space_group_name_Hall 'P 2 -2'
loop_
_atom_site_label
_atom_site_type_symbol
_atom_site_fract_x
_atom_site_fract_y
_atom_site_fract_z
Cd1 Cd 0.0000 0.0000 0.0000
Pt1 Pt 0.0000 0.0000 0.4910
Pt2 Pt 0.5000 0.5000 0.2490
Au1 Au 0.5000 0.5000 0.7371
```

=====

11.
Computed, not measured: a crystal of CdPtAu relaxed with PBEsol at the SCAN level of DFT.

Calculated values
ΔH_f (0 K) = -0.176 eV/atom

Cell and atoms, written as CIF:
```
data_CdPtAu
_cell_length_a 2.9243
_cell_length_b 2.9243
_cell_length_c 11.7888
_cell_angle_alpha 90.00
_cell_angle_beta 90.00
_cell_angle_gamma 90.00
_space_group_name_H-M_alt 'I 4 m m'
_space_group_IT_number 107
_space_group_name_Hall 'I 4 -2'
loop_
_atom_site_label
_atom_site_type_symbol
_atom_site_fract_x
_atom_site_fract_y
_atom_site_fract_z
Cd1 Cd 0.0000 0.0000 0.0000
Pt1 Pt 0.0000 0.0000 0.6621
Au1 Au 0.0000 0.0000 0.3262
```

=====

12.
Computed, not measured: a crystal of CdPt2Au relaxed with PBEsol at the SCAN level of DFT.

Calculated values
ΔH_f (0 K) = -0.030 eV/atom

Cell and atoms, written as CIF:
```
data_CdPt2Au
_cell_length_a 2.8449
_cell_length_b 2.8449
_cell_length_c 27.8260
_cell_angle_alpha 90.00
_cell_angle_beta 90.00
_cell_angle_gamma 120.00
_space_group_name_H-M_alt 'R 3 m'
_space_group_IT_number 160
_space_group_name_Hall 'R 3 -2"'
loop_
_atom_site_label
_atom_site_type_symbol
_atom_site_fract_x
_atom_site_fract_y
_atom_site_fract_z
Cd1 Cd 0.0000 0.0000 0.0000
Pt1 Pt 0.0000 0.0000 0.2512
Pt2 Pt 0.0000 0.0000 0.5036
Au1 Au 0.0000 0.0000 0.7535
```

=====

13.
Computed, not measured: a crystal of CdPt2Au relaxed with PBEsol at the SCAN level of DFT.

Calculated values
ΔH_f (0 K) = -0.159 eV/atom

Cell and atoms, written as CIF:
```
data_CdPt2Au
_cell_length_a 4.0665
_cell_length_b 4.0665
_cell_length_c 7.8653
_cell_angle_alpha 90.00
_cell_angle_beta 90.00
_cell_angle_gamma 90.00
_space_group_name_H-M_alt 'I 4/m m m'
_space_group_IT_number 139
_space_group_name_Hall '-I 4 2'
loop_
_atom_site_label
_atom_site_type_symbol
_atom_site_fract_x
_atom_site_fract_y
_atom_site_fract_z
Cd1 Cd 0.0000 0.0000 0.0000
Pt1 Pt 0.0000 0.5000 0.2500
Au1 Au 0.0000 0.0000 0.5000
```

=====

14.
Computed, not measured: a crystal of CdPtAu relaxed with PBEsol at the SCAN level of DFT.

Calculated values
ΔH_f (0 K) = -0.184 eV/atom

Cell and atoms, written as CIF:
```
data_CdPtAu
_cell_length_a 2.9180
_cell_length_b 3.9874
_cell_length_c 8.6707
_cell_angle_alpha 90.00
_cell_angle_beta 90.00
_cell_angle_gamma 90.00
_space_group_name_H-M_alt 'I m m 2'
_space_group_IT_number 44
_space_group_name_Hall 'I 2 -2'
loop_
_atom_site_label
_atom_site_type_symbol
_atom_site_fract_x
_atom_site_fract_y
_atom_site_fract_z
Cd1 Cd 0.0000 0.0000 0.0000
Pt1 Pt 0.0000 0.0000 0.6637
Au1 Au 0.0000 0.0000 0.3293
```

=====

Number 1: total magnetization 5.19 μB per formula unit, final energy -52.665 eV per atom. Number 2: total magnetization 0.00 μB per formula unit, final energy -48.456 eV per atom. Number 3: total magnetization 0.00 μB per formula unit, final energy -60.106 eV per atom. Number 4: total magnetization 0.00 μB per formula unit, final energy -60.113 eV per atom. Number 5: total magnetization 0.00 μB per formula unit, final energy -60.091 eV per atom. Number 6: total magnetization 0.00 μB per formula unit, final energy -54.324 eV per atom. Number 7: total magnetization 0.00 μB per formula unit, final energy -60.142 eV per atom. Number 8: total magnetization 0.00 μB per formula unit, final energy -60.115 eV per atom. Number 9: total magnetization 0.00 μB per formula unit, final energy -60.113 eV per atom. Number 10: total magnetization 0.00 μB per formula unit, final energy -60.112 eV per atom. Number 11: total magnetization 0.00 μB per formula unit, final energy -56.765 eV per atom. Number 12: total magnetization 0.00 μB per formula unit, final energy -60.019 eV per atom. Number 13: total magnetization 0.00 μB per formula unit, final energy -60.149 eV per atom. Number 14: total magnetization 0.00 μB per formula unit, final energy -56.772 eV per atom.